Record 1
Computed, not measured: a relaxed structure of EuHo2Ga at the GGA-PBE level of DFT.

Values from the calculation:
The crystal system is tetragonal. The value obtained for the relative energy among the computed polymorphs is 0.0 meV/atom.

Cell and atoms, written as POSCAR:
```
EuHo2Ga
1.0
3.540 0.000 0.000
0.000 3.540 0.000
0.000 0.000 9.288
Eu Ho Ga
1 2 1
Direct
0.500 0.500 0.500
0.000 0.000 0.806
0.000 0.000 0.194
0.500 0.500 0.000
```

---

Record 2
Computed, not measured: a relaxed structure of EuHo2Ga at the GGA-PBE level of DFT.

Values from the calculation:
The crystal system is tetragonal. The value obtained for the relative energy among the computed polymorphs is 73.9 meV/atom.

Cell and atoms, written as POSCAR:
```
EuHo2Ga
1.0
-2.778 -3.708 0.525
2.992 -2.628 -2.728
2.465 -1.289 3.945
Eu Ho Ga
1 2 1
Direct
0.500 0.500 0.500
0.000 0.000 0.500
0.000 0.500 0.000
0.500 0.000 0.000
```

---

Record 3
Computed, not measured: a relaxed structure of EuHoGaIr at the GGA-PBE level of DFT.

Values from the calculation:
The crystal system is cubic.

Cell and atoms, written as POSCAR:
```
EuHoGaIr
1.0
4.999 0.000 0.000
2.499 4.329 0.000
2.499 1.443 4.082
Eu Ir Ho Ga
1 1 1 1
Direct
0.500 0.500 0.500
0.750 0.750 0.750
0.000 0.000 0.000
0.250 0.250 0.250
```

---

Record 4
Computed, not measured: a relaxed structure of EuHoMgGa at the GGA-PBE level of DFT.

Values from the calculation:
The crystal system is cubic.

Cell and atoms, written as POSCAR:
```
EuHoMgGa
1.0
5.286 0.000 0.000
2.643 4.578 0.000
2.643 1.526 4.316
Eu Mg Ho Ga
1 1 1 1
Direct
0.000 0.000 0.000
0.750 0.750 0.750
0.500 0.500 0.500
0.250 0.250 0.250
```

---

Record 5
Computed, not measured: a relaxed structure of NaEuHoGa at the GGA-PBE level of DFT.

Values from the calculation:
The crystal system is cubic.

Cell and atoms, written as POSCAR:
```
NaEuHoGa
1.0
5.370 0.000 0.000
2.685 4.650 0.000
2.685 1.550 4.384
Eu Na Ho Ga
1 1 1 1
Direct
0.500 0.500 0.500
0.750 0.750 0.750
0.000 0.000 0.000
0.250 0.250 0.250
```

---

Record 6
Computed, not measured: a relaxed structure of EuHoGaNi at the GGA-PBE level of DFT.

Values from the calculation:
The crystal system is cubic.

Cell and atoms, written as POSCAR:
```
EuHoGaNi
1.0
-4.490 -0.347 2.190
-3.727 -2.427 -2.300
-1.588 -4.406 1.772
Eu Ni Ho Ga
1 1 1 1
Direct
0.000 0.000 0.000
0.250 0.250 0.250
0.500 0.500 0.500
0.750 0.750 0.750
```

---

Record 7
Computed, not measured: a relaxed structure of EuHoGaPd at the GGA-PBE level of DFT.

Values from the calculation:
The crystal system is cubic.

Cell and atoms, written as POSCAR:
```
EuHoGaPd
1.0
-1.780 4.773 -0.132
-5.022 0.842 -0.187
-2.412 1.933 4.052
Eu Ga Ho Pd
1 1 1 1
Direct
0.000 0.000 0.000
0.250 0.250 0.250
0.500 0.500 0.500
0.750 0.750 0.750
```

---

Record 8
Computed, not measured: a relaxed structure of PrEuHoGa at the GGA-PBE level of DFT.

Values from the calculation:
The crystal system is cubic.

Cell and atoms, written as POSCAR:
```
PrEuHoGa
1.0
-5.317 1.172 -0.056
-3.204 -2.070 -3.886
-3.649 -3.847 1.241
Eu Pr Ho Ga
1 1 1 1
Direct
0.000 0.000 0.000
0.250 0.250 0.250
0.750 0.750 0.750
0.500 0.500 0.500
```

---

Record 9
Computed, not measured: a relaxed structure of EuHoTlGa at the GGA-PBE level of DFT.

Values from the calculation:
The crystal system is cubic.

Cell and atoms, written as POSCAR:
```
EuHoTlGa
1.0
-0.600 -3.444 4.029
4.287 -2.187 2.301
1.386 1.420 4.952
Eu Tl Ho Ga
1 1 1 1
Direct
0.000 0.000 0.000
0.750 0.750 0.750
0.500 0.500 0.500
0.250 0.250 0.250
```

---

Record 10
Computed, not measured: a relaxed structure of EuHoZnGa at the GGA-PBE level of DFT.

Values from the calculation:
The crystal system is cubic.

Cell and atoms, written as POSCAR:
```
EuHoZnGa
1.0
5.158 0.000 0.000
2.579 4.467 0.000
2.579 1.489 4.212
Eu Zn Ho Ga
1 1 1 1
Direct
0.000 0.000 0.000
0.750 0.750 0.750
0.500 0.500 0.500
0.250 0.250 0.250
```

---

Record 11
Computed, not measured: a relaxed structure of EuInGa2 at the GGA-PBE level of DFT.

Values from the calculation:
The crystal system is tetragonal. The value obtained for the relative energy among the computed polymorphs is 0.0 meV/atom.

Cell and atoms, written as POSCAR:
```
EuInGa2
1.0
-0.577 -2.538 -3.492
-0.892 -3.573 2.745
-4.464 1.079 -0.046
Eu Ga In
1 2 1
Direct
0.500 0.500 0.500
0.000 0.000 0.500
0.000 0.500 0.000
0.500 0.000 0.000
```

---

Record 12
Computed, not measured: a relaxed structure of EuIn2Ga at the GGA-PBE level of DFT.

Values from the calculation:
The crystal system is tetragonal. The value obtained for the relative energy among the computed polymorphs is 0.0 meV/atom.

Cell and atoms, written as POSCAR:
```
EuIn2Ga
1.0
4.725 0.000 0.000
0.000 4.591 0.000
0.000 0.000 4.591
Eu Ga In
1 1 2
Direct
0.500 0.000 0.000
0.500 0.500 0.500
0.000 0.000 0.500
0.000 0.500 0.000
```

---

no.,ΔE_f (eV/atom)
1,-0.24
2,-0.17
3,-0.50
4,-0.28
5,-0.09
6,-0.30
7,-0.58
8,-0.07
9,-0.39
10,-0.40
11,-0.36
12,-0.36